Computed, not measured: crystalline LiTcBi2 at its relaxed geometry at the PBE-GGA level of DFT.

It has space group Fm-3m (No. 225), with a = 6.899 Å, b = 6.899 Å, c = 6.899 Å, α = 90.00°, β = 90.00° and γ = 90.00°. The distinct sites, in fractional coordinates, are Li at (0.000, 0.000, 0.000), Tc at (0.000, 0.000, 0.500) and Bi at (0.250, 0.250, 0.250).

The total energy is -4.8336 eV/atom. The total magnetization is 0.0 μB/f.u. Its polymorph energy (0 for the lowest one) is 0 meV/atom. The density of states at the Fermi level comes out at 9.8 states/eV/cell. For the energy of formation from the pure elements, the calculation gives 0.177 eV/atom.